Record 1
# Ac2PuHg (GGA-PBE, optimized geometry)
data_Ac2PuHg
_space_group_name_H-M_alt 'P 1'
_space_group_IT_number 1
_cell_length_a 5.779
_cell_length_b 5.779
_cell_length_c 5.779
_cell_angle_alpha 60.00
_cell_angle_beta 60.00
_cell_angle_gamma 60.00
loop_
_space_group_symop_operation_xyz
'x,y,z'
loop_
_atom_site_label
_atom_site_type_symbol
_atom_site_fract_x
_atom_site_fract_y
_atom_site_fract_z
_atom_site_occupancy
Ac1 Ac 0.250 0.250 0.250 1
Ac2 Ac 0.750 0.750 0.750 1
Pu1 Pu 0.000 0.000 0.000 1
Hg1 Hg 0.500 0.500 0.500 1
# Energy of formation (kJ/mol of formula units): 22
# E (eV for the cell shown): -22.6
# Calculated density (g cm⁻³): 10.93
# SG: Fm-3m (225)
# Excess energy over the best structure of this formula in the dataset (meV/atom): 136



Record 2
# Hg5Sb2Pb6 (GGA-PBE, optimized geometry)
data_Hg5Sb2Pb6
_space_group_name_H-M_alt 'P 1'
_space_group_IT_number 1
_cell_length_a 6.281
_cell_length_b 11.950
_cell_length_c 11.096
_cell_angle_alpha 90.00
_cell_angle_beta 109.82
_cell_angle_gamma 90.00
loop_
_space_group_symop_operation_xyz
'x,y,z'
loop_
_atom_site_label
_atom_site_type_symbol
_atom_site_fract_x
_atom_site_fract_y
_atom_site_fract_z
_atom_site_occupancy
Hg1 Hg 0.000 0.000 0.000 1
Hg2 Hg 0.000 0.500 0.500 1
Hg3 Hg 0.144 0.026 0.756 1
Hg4 Hg 0.144 0.474 0.256 1
Hg5 Hg 0.155 0.124 0.470 1
Hg6 Hg 0.155 0.376 0.970 1
Hg7 Hg 0.845 0.624 0.030 1
Hg8 Hg 0.845 0.876 0.530 1
Hg9 Hg 0.856 0.526 0.744 1
Hg10 Hg 0.856 0.974 0.244 1
Sb1 Sb 0.356 0.705 0.179 1
Sb2 Sb 0.356 0.795 0.679 1
Sb3 Sb 0.644 0.205 0.321 1
Sb4 Sb 0.644 0.295 0.821 1
Pb1 Pb 0.096 0.216 0.185 1
Pb2 Pb 0.096 0.284 0.685 1
Pb3 Pb 0.397 0.548 0.807 1
Pb4 Pb 0.397 0.952 0.307 1
Pb5 Pb 0.485 0.146 0.017 1
Pb6 Pb 0.485 0.354 0.517 1
Pb7 Pb 0.515 0.646 0.483 1
Pb8 Pb 0.515 0.854 0.983 1
Pb9 Pb 0.603 0.048 0.693 1
Pb10 Pb 0.603 0.452 0.193 1
Pb11 Pb 0.904 0.716 0.315 1
Pb12 Pb 0.904 0.784 0.815 1
# E (eV for the cell shown): -62.5
# Calculated density (g cm⁻³): 10.55
# SG: P2_1/c (14)
# ΔE_f (raw) (eV per atom): 0.056



Number 1 is which compound? Ac2PuHg



The highest E belongs to which entry? Ac2PuHg



Which of these has the lowest calculated density? Hg5Sb2Pb6



What is the formula in the first record? Ac2PuHg